# 1
KLiCoCl6 | PBE-GGA | optimized geometry

Computed properties:
Energy, Ha/atom: -0.1249
Calculated volume, Å³/cell: 238.7
Total magnetization, μB per atom: 0.116
E_form (uncorrected), meV per atom: -1044.5

abc: 6.3115 6.3115 6.9189
angles: 90.00 90.00 59.99
Last column: nearest neighbours and their distance in Å.
Fractional positions:
K  0.0000  0.0000  0.0000  6 Cl 3.18
Li  0.6666  0.6667  0.5000  6 Cl 2.53
Co  0.3333  0.3333  0.5000  6 Cl 2.25
Cl  0.0331  0.3541  0.3111  1 Co 2.25
Cl  0.3541  0.0331  0.6888  1 Co 2.25
Cl  0.6127  0.3541  0.6888  1 Co 2.25
Cl  0.0331  0.6128  0.6888  1 Co 2.25
Cl  0.3541  0.6128  0.3111  1 Co 2.25
Cl  0.6128  0.0331  0.3111  1 Co 2.25

---

# 2
BeSiOs2 | PBE-GGA | optimized geometry

Computed properties:
Energy, Ha/atom: -0.2699
Calculated volume, Å³/cell: 107.6
Total magnetization, μB per atom: 0.001
E_form (uncorrected), meV per atom: 558.6

abc: 6.2014 6.2014 5.2010
angles: 53.40 53.40 90.00
Last column: nearest neighbours and their distance in Å.
Fractional positions:
Be  0.5000  0.5000  0.0000  4 Os 2.23
Be  0.2500  0.7500  0.5000  4 Os 2.23
Si  0.0000  0.0000  0.0000  4 Os 2.38
Si  0.7500  0.2500  0.5000  4 Os 2.38
Os  0.6076  0.1250  0.2500  2 Be 2.23, 2 Si 2.38
Os  0.1424  0.6250  0.2500  2 Be 2.23, 2 Si 2.38
Os  0.3750  0.3924  0.7500  2 Be 2.23, 2 Si 2.38
Os  0.8750  0.8576  0.7500  2 Be 2.23, 2 Si 2.38

---

# 3
KBeSe | PBE-GGA | optimized geometry

Computed properties:
Energy, Ha/atom: -0.1201
Calculated volume, Å³/cell: 166.8
Total magnetization, μB per atom: 0.000
E_form (uncorrected), meV per atom: -499.1
Energy above the most stable polymorph in this dataset, meV/atom: 139.5

abc: 5.4018 5.6918 6.0787
angles: 93.52 105.38 110.14
Last column: nearest neighbours and their distance in Å.
Fractional positions:
Be  0.0023  0.1177  0.0069  1 Be 2.20, 2 Se 2.21-2.30
Be  0.7620  0.1117  0.2494  1 Be 2.20, 2 Se 2.22
K  0.1786  0.8007  0.4991  4 Se 3.13-3.45, 1 Be 3.43
K  0.5908  0.4985  0.8800  4 Se 3.23-3.56, 4 Be 3.36-3.58
Se  0.3167  0.9436  0.0444  2 Be 2.21-2.22
Se  0.8679  0.1844  0.6320  2 Be 2.22-2.30

---

The highest calculated volume belongs to which entry?
KLiCoCl6

---

Which of these has the lowest energy?
BeSiOs2

---

Repeat the second record exactly.
BeSiOs2 | PBE-GGA | optimized geometry

Computed properties:
Energy, Ha/atom: -0.2699
Calculated volume, Å³/cell: 107.6
Total magnetization, μB per atom: 0.001
E_form (uncorrected), meV per atom: 558.6

abc: 6.2014 6.2014 5.2010
angles: 53.40 53.40 90.00
Last column: nearest neighbours and their distance in Å.
Fractional positions:
Be  0.5000  0.5000  0.0000  4 Os 2.23
Be  0.2500  0.7500  0.5000  4 Os 2.23
Si  0.0000  0.0000  0.0000  4 Os 2.38
Si  0.7500  0.2500  0.5000  4 Os 2.38
Os  0.6076  0.1250  0.2500  2 Be 2.23, 2 Si 2.38
Os  0.1424  0.6250  0.2500  2 Be 2.23, 2 Si 2.38
Os  0.3750  0.3924  0.7500  2 Be 2.23, 2 Si 2.38
Os  0.8750  0.8576  0.7500  2 Be 2.23, 2 Si 2.38

---

Repeat the third record exactly.
KBeSe | PBE-GGA | optimized geometry

Computed properties:
Energy, Ha/atom: -0.1201
Calculated volume, Å³/cell: 166.8
Total magnetization, μB per atom: 0.000
E_form (uncorrected), meV per atom: -499.1
Energy above the most stable polymorph in this dataset, meV/atom: 139.5

abc: 5.4018 5.6918 6.0787
angles: 93.52 105.38 110.14
Last column: nearest neighbours and their distance in Å.
Fractional positions:
Be  0.0023  0.1177  0.0069  1 Be 2.20, 2 Se 2.21-2.30
Be  0.7620  0.1117  0.2494  1 Be 2.20, 2 Se 2.22
K  0.1786  0.8007  0.4991  4 Se 3.13-3.45, 1 Be 3.43
K  0.5908  0.4985  0.8800  4 Se 3.23-3.56, 4 Be 3.36-3.58
Se  0.3167  0.9436  0.0444  2 Be 2.21-2.22
Se  0.8679  0.1844  0.6320  2 Be 2.22-2.30